Record 1
VASP calculation (PBE) on a geometry-optimized EuZrZn structure.

## Properties
Symmetry = No. 107
VASP energy = -6.704 eV per atom
N(E_F) = 2.868 states/eV/cell
Energy of formation from the pure elements = -0.01 eV per atom
Volume = 74.3 Å³ per cell
Total magnetization = 7.31 Bohr magnetons per cell

a b c (Å): 3.453 3.453 6.691
angles (deg): 104.95 104.95 90.00
Fractional coordinates of all 3 atoms:
1 Eu 0.011 0.011 0.022
2 Zn 0.686 0.686 0.373
3 Zr 0.303 0.303 0.606

Record 2
VASP calculation (PBE) on a geometry-optimized Ga2CuPbBr structure.

## Properties
Symmetry = No. 123
VASP energy = -3.153 eV per atom
N(E_F) = 1.738 states/eV/cell
ΔE_f (raw) = -0.23 eV per formula unit
Volume = 125.7 Å³ per cell
Total magnetization = 0.00 Bohr magnetons per cell

a b c (Å): 4.725 5.631 4.725
angles (deg): 90.00 90.00 90.00
Fractional coordinates of all 5 atoms:
1 Pb 0.000 0.500 0.000
2 Cu 0.000 0.000 0.000
3 Ga 0.000 0.000 0.500
4 Ga 0.500 0.000 0.000
5 Br 0.500 0.500 0.500

Record 3
VASP calculation (PBE) on a geometry-optimized Sc3TlO structure.

## Properties
Symmetry = No. 62
VASP energy = -6.511 eV per atom
N(E_F) = 5.009 states/eV/cell
ΔE_f (raw) = -6.24 eV per formula unit
Volume = 418.4 Å³ per cell
Total magnetization = 0.00 Bohr magnetons per cell

a b c (Å): 5.416 12.555 6.153
angles (deg): 90.00 90.00 90.00
Fractional coordinates of all 20 atoms:
1 Sc 0.000 0.877 0.911
2 Sc 0.500 0.377 0.411
3 Sc 0.500 0.123 0.411
4 Sc 0.000 0.377 0.089
5 Sc 0.000 0.123 0.089
6 Sc 0.500 0.623 0.589
7 Sc 0.500 0.877 0.589
8 Sc 0.000 0.623 0.911
9 Sc 0.471 0.250 0.940
10 Sc 0.029 0.750 0.440
11 Sc 0.529 0.750 0.060
12 Sc 0.971 0.250 0.560
13 Tl 0.000 0.000 0.500
14 Tl 0.500 0.500 0.000
15 Tl 0.500 0.000 0.000
16 Tl 0.000 0.500 0.500
17 O 0.584 0.250 0.616
18 O 0.916 0.750 0.116
19 O 0.416 0.750 0.384
20 O 0.084 0.250 0.884

Record 4
VASP calculation (PBE) on a geometry-optimized PrPu2AgO8 structure.

## Properties
Symmetry = No. 119
VASP energy = -8.585 eV per atom
N(E_F) = 10.173 states/eV/cell
ΔE_f (raw) = -27.06 eV per formula unit
Volume = 157.6 Å³ per cell
Total magnetization = 3.99 Bohr magnetons per cell

a b c (Å): 5.472 5.472 6.533
angles (deg): 114.76 114.76 90.00
Fractional coordinates of all 12 atoms:
1 Pr 0.000 0.000 0.000
2 Pu 0.500 0.500 0.000
3 Pu 0.250 0.750 0.500
4 Ag 0.750 0.250 0.500
5 O 0.876 0.845 0.250
6 O 0.373 0.405 0.250
7 O 0.595 0.626 0.749
8 O 0.154 0.123 0.749
9 O 0.877 0.405 0.251
10 O 0.374 0.846 0.251
11 O 0.155 0.627 0.750
12 O 0.595 0.124 0.750

Record 5
VASP calculation (PBE) on a geometry-optimized BaDy2Ga structure.

## Properties
Symmetry = No. 166
VASP energy = -3.537 eV per atom
N(E_F) = 4.412 states/eV/cell
Energy of formation from the pure elements = 0.00 eV per atom
ΔE to the lowest computed polymorph = 158 meV/atom
Volume = 134.8 Å³ per cell
Total magnetization = 0.21 Bohr magnetons per cell

a b c (Å): 3.680 3.680 11.691
angles (deg): 80.95 80.95 60.00
Fractional coordinates of all 4 atoms:
1 Ba 0.000 0.000 0.000
2 Ga 0.500 0.500 0.500
3 Dy 0.107 0.107 0.680
4 Dy 0.893 0.893 0.320

Record 6
VASP calculation (PBE) on a geometry-optimized PuPa2OsN5 structure.

## Properties
Symmetry = No. 140
VASP energy = -10.559 eV per atom
N(E_F) = 19.466 states/eV/cell
ΔE_f (raw) = -8.85 eV per formula unit
Volume = 250.2 Å³ per cell
Total magnetization = 9.88 Bohr magnetons per cell

a b c (Å): 6.523 6.523 7.473
angles (deg): 115.88 115.88 90.00
Fractional coordinates of all 18 atoms:
1 Pu 0.250 0.250 0.500
2 Pu 0.750 0.750 0.500
3 Pa 0.179 0.321 0.000
4 Pa 0.679 0.179 0.000
5 Pa 0.321 0.821 0.000
6 Pa 0.821 0.679 0.000
7 Os 0.250 0.750 0.500
8 Os 0.750 0.250 0.500
9 N 0.984 0.484 0.261
10 N 0.723 0.223 0.739
11 N 0.016 0.516 0.739
12 N 0.223 0.016 0.739
13 N 0.516 0.723 0.739
14 N 0.777 0.984 0.261
15 N 0.484 0.277 0.261
16 N 0.277 0.777 0.261
17 N 0.500 0.500 0.000
18 N 0.000 0.000 0.000